# Ti8C5

An optimized crystal structure of Ti8C5 (PBE, Alexandria).

DOS at the Fermi energy ... 6.4 states/eV per cell
Energy relative to the lowest polymorph listed for this composition ... 0.0 meV/atom
Calculated formation energy ... -0.724 eV per atom
Space group ... No. 166
Density ... 4.54 g/cm³

Cell: 6.099 6.099 6.099 Å, 60.43 60.43 60.43°
Fractional positions:
Ti (0.750, 0.750, 0.236)
Ti (0.245, 0.245, 0.245)
Ti (0.750, 0.236, 0.750)
Ti (0.250, 0.250, 0.764)
Ti (0.755, 0.755, 0.755)
Ti (0.764, 0.250, 0.250)
Ti (0.236, 0.750, 0.750)
Ti (0.250, 0.764, 0.250)
C (0.000, 0.000, 0.000)
C (0.000, 0.500, 0.000)
C (0.000, 0.000, 0.500)
C (0.500, 0.000, 0.000)
C (0.500, 0.500, 0.500)

***

# KHfAl2

An optimized crystal structure of KHfAl2 (PBE, Alexandria).

DOS at the Fermi energy ... 3.8 states/eV per cell
Energy relative to the lowest polymorph listed for this composition ... 0.0 meV/atom
Calculated formation energy ... 0.518 eV per atom
Space group ... No. 225
Density ... 4.87 g/cm³

Cell: 5.079 5.079 5.079 Å, 60.00 60.00 60.00°
Fractional positions:
Hf (0.500, 0.500, 0.500)
K (0.000, 0.000, 0.000)
Al (0.750, 0.750, 0.750)
Al (0.250, 0.250, 0.250)

***

# PmHoGaNi

An optimized crystal structure of PmHoGaNi (PBE, Alexandria).

DOS at the Fermi energy ... 4.0 states/eV per cell
Energy relative to the lowest polymorph listed for this composition ... 55.4 meV/atom
Calculated formation energy ... -0.402 eV per atom
Space group ... No. 216
Density ... 8.26 g/cm³

Cell: 4.995 4.995 4.995 Å, 60.00 60.00 60.00°
Fractional positions:
Ni (0.000, 0.000, 0.000)
Ga (0.500, 0.500, 0.500)
Ho (0.750, 0.750, 0.750)
Pm (0.250, 0.250, 0.250)

***

Look up the DOS at the Fermi energy of the second one. 3.8 states/eV per cell

***

Among the records above, which one has the lowest density? Ti8C5

***

calculated formation energy of number 1 (Ti8C5)? -0.724 eV per atom

***

calculated formation energy of number 3 (PmHoGaNi)? -0.402 eV per atom